Below is crystalline HgPdRhF6 at its relaxed geometry, with properties calculated at the PBE-GGA level.

a b c (Å): 5.149 5.149 10.487
angles (deg): 90.00 90.00 90.00
Space group P4_2nm (No. 102)
Asymmetric unit:
Hg1 0.000 0.000 0.000
Pd1 0.000 0.000 0.327
Rh1 0.000 0.000 0.665
F1 0.177 0.177 0.514
F2 0.187 0.187 0.810
F3 0.220 0.220 0.170

E = -3.926 eV/atom
Total magnetization = 1.01 μB/f.u.
Density of states at the Fermi level = 5.0 states/eV/cell
ΔE_f (raw) = -1.2509 eV per atom